[1]
A relaxed structure of Er6MgAl2. Source: the Alexandria database, functional GGA-PBE.

abc: 8.765 8.765 4.975
angles: 106.41 106.41 49.13
Fractional positions:
Er: 0.076 0.585 0.330
Er: 0.236 0.764 0.000
Er: 0.415 0.924 0.670
Er: 0.585 0.076 0.330
Er: 0.764 0.236 0.000
Er: 0.924 0.415 0.670
Mg: 0.500 0.500 0.500
Al: 0.168 0.168 0.168
Al: 0.832 0.832 0.832

Values from the calculation:
M_tot: 0.00 μB per cell
energy of formation: 0.1423 eV/atom
E_tot: -3.909 eV per atom

[2]
A relaxed structure of K2HgIO4. Source: the Alexandria database, functional GGA-PBE.

abc: 6.537 6.537 6.537
angles: 107.62 107.62 113.23
Fractional positions:
K: 0.000 0.000 0.000
K: 0.750 0.250 0.500
Hg: 0.500 0.500 0.000
I: 0.250 0.750 0.500
O: 0.005 0.414 0.245
O: 0.169 0.760 0.755
O: 0.240 0.995 0.409
O: 0.586 0.831 0.591

Values from the calculation:
raw formation energy: -0.74 eV/atom
M_tot: 1.00 μB per cell
E_tot: -3.730 eV per atom

[3]
A relaxed structure of CeMg14Ti. Source: the Alexandria database, functional GGA-PBE.

abc: 6.509 6.509 10.204
angles: 90.00 90.00 120.00
Fractional positions:
Ce: 0.000 0.000 0.000
Mg: 0.015 0.507 0.000
Mg: 0.165 0.331 0.261
Mg: 0.165 0.331 0.739
Mg: 0.165 0.835 0.261
Mg: 0.165 0.835 0.739
Mg: 0.493 0.507 0.000
Mg: 0.493 0.985 0.000
Mg: 0.501 0.003 0.500
Mg: 0.501 0.499 0.500
Mg: 0.667 0.333 0.238
Mg: 0.667 0.333 0.762
Mg: 0.669 0.835 0.261
Mg: 0.669 0.835 0.739
Mg: 0.997 0.499 0.500
Ti: 0.000 0.000 0.500

Values from the calculation:
polymorph energy (0 for the lowest one): 27 meV/atom
M_tot: 3.11 μB per cell
energy of formation: 0.0944 eV/atom
E_tot: -2.165 eV per atom

[4]
A relaxed structure of KCr2Co. Source: the Alexandria database, functional GGA-PBE.

abc: 5.613 5.613 2.480
angles: 100.38 100.38 120.57
Fractional positions:
K: 0.000 0.000 0.000
Cr: 0.000 0.500 0.500
Cr: 0.500 0.000 0.500
Co: 0.500 0.500 0.000

Values from the calculation:
polymorph energy (0 for the lowest one): 760 meV/atom
M_tot: 4.62 μB per cell
energy of formation: 1.5176 eV/atom
E_tot: -5.345 eV per atom

> Look up the M_tot of the fourth one.

4.62 μB per cell

> M_tot of number 3 (CeMg14Ti)?

3.11 μB per cell